Entry 1:
Density functional theory data (PBE-GGA) for a relaxed structure of Li2TmI5.

* density of states at the Fermi level: 0.000 states/eV per atom
* crystal system: monoclinic
* mass density: 3.5 Mg/m³
* DFT total energy: -3.23 eV/atom
* formation energy without anion corrections: -1.2195 eV/atom
* SG: Cm

Cell: 7.4826 8.3781 8.3782 Å, 65.45 59.75 59.75°
With the nearest neighbours (Å) after each atom.
Fractional coordinates of all 8 atoms:
I 0.0788 0.8204 0.3560  1 Li 2.82, 1 Tm 2.88
I 0.3846 0.7770 0.7770  2 Li 2.83, 1 Tm 3.03
I 0.7032 0.9311 0.9311  2 Li 2.94, 1 Tm 2.95
I 0.5192 0.2707 0.2707  2 Li 2.84, 1 Tm 3.01
I 0.0787 0.3560 0.8204  1 Li 2.82, 1 Tm 2.88
Li 0.6381 0.5834 0.0099  4 I 2.82-2.94
Li 0.6381 0.0099 0.5834  4 I 2.82-2.94
Tm 0.9594 0.0285 0.0285  5 I 2.88-3.03

***

Entry 2:
Density functional theory data (PBE-GGA) for a relaxed structure of TmPtPbO6.

* density of states at the Fermi level: 0.614 states/eV per atom
* crystal system: trigonal
* mass density: 9.2 Mg/m³
* DFT total energy: -6.25 eV/atom
* formation energy without anion corrections: -1.3643 eV/atom
* SG: P-31c

Cell: 5.4931 5.4931 9.2087 Å, 90.00 90.00 120.00°
With the nearest neighbours (Å) after each atom.
Fractional coordinates of all 18 atoms:
O 0.6345 0.6621 0.6281  1 Pt 2.01, 1 Tm 2.21
O 0.9724 0.3379 0.1281  1 Pt 2.01, 1 Tm 2.21
O 0.6621 0.0276 0.3719  1 Pt 2.01, 1 Tm 2.21
O 0.3379 0.3655 0.8719  1 Pt 2.01, 1 Tm 2.21
O 0.6621 0.6345 0.1281  1 Pt 2.01, 1 Tm 2.21
O 0.0276 0.3655 0.6281  1 Pt 2.01, 1 Tm 2.21
O 0.3655 0.3379 0.3719  1 Pt 2.01, 1 Tm 2.21
O 0.0276 0.6621 0.8719  1 Pt 2.01, 1 Tm 2.21
O 0.3655 0.0276 0.1281  1 Pt 2.01, 1 Tm 2.21
O 0.9724 0.6345 0.3719  1 Pt 2.01, 1 Tm 2.21
O 0.3379 0.9724 0.6281  1 Pt 2.01, 1 Tm 2.21
O 0.6345 0.9724 0.8719  1 Pt 2.01, 1 Tm 2.21
Tm 0.6667 0.3333 0.7500  6 O 2.21
Tm 0.3333 0.6667 0.2500  6 O 2.21
Pb 0.0000 0.0000 0.0000  6 O 2.27
Pb 0.0000 0.0000 0.5000  6 O 2.27
Pt 0.6667 0.3333 0.2500  6 O 2.01
Pt 0.3333 0.6667 0.7500  6 O 2.01

***

Entry 3:
Density functional theory data (PBE-GGA) for a relaxed structure of ZnAs2Pb.

* density of states at the Fermi level: 0.460 states/eV per atom
* crystal system: tetragonal
* mass density: 7.9 Mg/m³
* DFT total energy: -3.41 eV/atom
* SG: P4/mmm

Cell: 3.6352 3.6328 6.7012 Å, 90.00 90.00 90.00°
With the nearest neighbours (Å) after each atom.
Fractional coordinates of all 4 atoms:
Zn 0.5000 0.5000 0.7500  8 As 2.86
As 0.0000 0.0000 0.5626  1 As 2.51
As 0.0000 0.0000 0.9374  1 As 2.51
Pb 0.5000 0.5000 0.2500  8 As 3.32, 2 Zn 3.35, 4 Pb 3.63-3.64

***

Entry 4:
Density functional theory data (PBE-GGA) for a relaxed structure of Ce3CdIr2.

* density of states at the Fermi level: 2.027 states/eV per atom
* crystal system: monoclinic
* mass density: 10.3 Mg/m³
* DFT total energy: -6.55 eV/atom
* SG: C2/m

Cell: 4.6910 8.4620 8.2208 Å, 108.05 106.58 90.00°
With the nearest neighbours (Å) after each atom.
Fractional coordinates of all 12 atoms:
Cd 0.4081 0.0214 0.8161  4 Ir 2.97-3.22, 1 Cd 3.03, 2 Ce 3.22
Cd 0.5919 0.9786 0.1839  4 Ir 2.97-3.22, 1 Cd 3.03, 2 Ce 3.22
Ir 0.0528 0.1596 0.1055  4 Ce 2.67-2.95, 1 Ir 2.68, 2 Cd 2.97
Ir 0.2048 0.5583 0.4096  4 Ce 2.67-2.98
Ir 0.9472 0.8404 0.8945  4 Ce 2.67-2.95, 1 Ir 2.68, 2 Cd 2.97
Ir 0.7952 0.4417 0.5904  4 Ce 2.67-2.98
Ce 0.9189 0.2883 0.8379  2 Ir 2.67
Ce 0.3996 0.6185 0.7992  5 Ir 2.94-2.98
Ce 0.6004 0.3815 0.2008  5 Ir 2.94-2.98
Ce 0.2338 0.2082 0.4676  3 Ir 2.75-3.02
Ce 0.7662 0.7918 0.5324  3 Ir 2.75-3.02
Ce 0.0811 0.7117 0.1621  2 Ir 2.67

***

Entry 5:
Density functional theory data (PBE-GGA) for a relaxed structure of K3BN.

* density of states at the Fermi level: 2.747 states/eV per atom
* crystal system: cubic
* mass density: 1.5 Mg/m³
* polymorph energy (0 for the lowest one): 0 meV/atom
* DFT total energy: -2.39 eV/atom
* formation energy without anion corrections: 1.2739 eV/atom
* SG: Pm-3m

Cell: 5.4101 5.4101 5.4101 Å, 90.00 90.00 90.00°
With the nearest neighbours (Å) after each atom.
Fractional coordinates of all 5 atoms:
N 0.0000 0.0000 0.0000  6 K 2.71
K 0.0000 0.5000 0.0000  2 N 2.71
K 0.0000 0.0000 0.5000  2 N 2.71
K 0.5000 0.0000 0.0000  2 N 2.71
B 0.5000 0.5000 0.5000  12 K 3.83

***

Entry 6:
Density functional theory data (PBE-GGA) for a relaxed structure of Rb2HgS2.

* density of states at the Fermi level: 0.000 states/eV per atom
* crystal system: tetragonal
* mass density: 4.0 Mg/m³
* DFT total energy: -2.74 eV/atom
* formation energy without anion corrections: -0.6415 eV/atom
* SG: I4/mmm

Cell: 6.4086 6.4086 6.3069 Å, 59.46 59.46 90.00°
With the nearest neighbours (Å) after each atom.
Fractional coordinates of all 5 atoms:
Rb 0.7500 0.2500 0.5000  4 S 3.39
Rb 0.2500 0.7500 0.5000  4 S 3.39
S 0.3775 0.3775 0.2449  1 S 2.15
S 0.6225 0.6225 0.7551  1 S 2.15
Hg 0.0000 0.0000 0.0000  2 S 3.31

***

Entry 7:
Density functional theory data (PBE-GGA) for a relaxed structure of BN.

* density of states at the Fermi level: 0.000 states/eV per atom
* crystal system: hexagonal
* mass density: 1.9 Mg/m³
* polymorph energy (0 for the lowest one): 0 meV/atom
* DFT total energy: -8.79 eV/atom
* formation energy without anion corrections: -1.2864 eV/atom
* SG: P6_3/mmc

Cell: 2.5125 2.5125 7.8130 Å, 90.00 90.00 120.00°
With the nearest neighbours (Å) after each atom.
Fractional coordinates of all 4 atoms:
N 0.6667 0.3333 0.2500  3 B 1.45
N 0.3333 0.6667 0.7500  3 B 1.45
B 0.3333 0.6667 0.2500  3 N 1.45
B 0.6667 0.3333 0.7500  3 N 1.45

***

Entry 8:
Density functional theory data (PBE-GGA) for a relaxed structure of YMg3.

* density of states at the Fermi level: 0.643 states/eV per atom
* crystal system: monoclinic
* mass density: 2.6 Mg/m³
* DFT total energy: -2.84 eV/atom
* SG: P2/m

Cell: 5.0612 3.2395 6.3600 Å, 78.00 90.00 90.00°
With the nearest neighbours (Å) after each atom.
Fractional coordinates of all 4 atoms:
Mg 0.5000 0.7500 0.7500  6 Mg 3.05-3.24, 2 Y 3.25
Mg 0.0000 0.5882 0.5107  7 Mg 3.05-3.42, 2 Y 3.33
Mg 0.0000 0.9118 0.9893  7 Mg 3.05-3.42, 2 Y 3.33
Y 0.5000 0.2500 0.2500  2 Y 3.24, 10 Mg 3.25-3.50

***

Entry 9:
Density functional theory data (PBE-GGA) for a relaxed structure of Lu2MgAg.

* density of states at the Fermi level: 1.043 states/eV per atom
* crystal system: cubic
* mass density: 8.3 Mg/m³
* polymorph energy (0 for the lowest one): 39 meV/atom
* DFT total energy: -3.52 eV/atom
* SG: Fm-3m

Cell: 5.1486 5.1486 5.1486 Å, 60.00 60.00 60.00°
With the nearest neighbours (Å) after each atom.
Fractional coordinates of all 4 atoms:
Mg 0.5000 0.5000 0.5000  8 Lu 3.15
Lu 0.7500 0.7500 0.7500  4 Mg 3.15, 4 Ag 3.15
Lu 0.2500 0.2500 0.2500  4 Mg 3.15, 4 Ag 3.15
Ag 0.0000 0.0000 0.0000  8 Lu 3.15

***

Entry 10:
Density functional theory data (PBE-GGA) for a relaxed structure of CuHgSI.

* density of states at the Fermi level: 0.006 states/eV per atom
* crystal system: orthorhombic
* mass density: 6.4 Mg/m³
* polymorph energy (0 for the lowest one): 0 meV/atom
* DFT total energy: -2.72 eV/atom
* formation energy without anion corrections: -0.2020 eV/atom
* SG: Pna2_1

Cell: 7.0877 7.2249 8.5552 Å, 90.00 90.00 90.00°
With the nearest neighbours (Å) after each atom.
Fractional coordinates of all 16 atoms:
S 0.8720 0.1084 0.8446  2 Cu 2.27, 2 Hg 2.47-2.48
S 0.8720 0.6084 0.6554  2 Cu 2.27, 2 Hg 2.47-2.48
S 0.3720 0.3916 0.3446  2 Cu 2.27, 2 Hg 2.47-2.48
S 0.3720 0.8916 0.1554  2 Cu 2.27, 2 Hg 2.47-2.48
Cu 0.7926 0.9129 0.6483  2 S 2.27
Cu 0.2926 0.5871 0.1483  2 S 2.27
Cu 0.7926 0.4129 0.8517  2 S 2.27
Cu 0.2926 0.0871 0.3517  2 S 2.27
Hg 0.1936 0.5403 0.5595  2 S 2.47-2.48
Hg 0.6936 0.4597 0.4405  2 S 2.47-2.48
Hg 0.6936 0.9597 0.0595  2 S 2.47-2.48
Hg 0.1936 0.0403 0.9405  2 S 2.47-2.48
I 0.4083 0.9214 0.6185  2 Cu 2.70-2.74
I 0.4083 0.4214 0.8815  2 Cu 2.70-2.74
I 0.9083 0.0786 0.3815  2 Cu 2.70-2.74
I 0.9083 0.5786 0.1185  2 Cu 2.70-2.74

***

Entry 11:
Density functional theory data (PBE-GGA) for a relaxed structure of PmMg2In.

* density of states at the Fermi level: 0.337 states/eV per atom
* crystal system: monoclinic
* mass density: 5.1 Mg/m³
* polymorph energy (0 for the lowest one): 43 meV/atom
* DFT total energy: -2.92 eV/atom
* SG: Cm

Cell: 5.2265 5.2265 5.2198 Å, 89.76 120.14 120.18°
With the nearest neighbours (Å) after each atom.
Fractional coordinates of all 4 atoms:
Mg 0.1251 0.8125 0.9376  4 Mg 3.19-3.20, 4 In 3.19-3.20
Mg 0.6245 0.0625 0.6870  4 Mg 3.19-3.20, 4 Pm 3.20
In 0.6255 0.5625 0.1880  4 Mg 3.19-3.20, 4 Pm 3.20
Pm 0.1250 0.3125 0.4375  4 In 3.20, 4 Mg 3.20

***

Entry 12:
Density functional theory data (PBE-GGA) for a relaxed structure of Er3NiRu.

* density of states at the Fermi level: 0.694 states/eV per atom
* crystal system: orthorhombic
* mass density: 10.0 Mg/m³
* polymorph energy (0 for the lowest one): 0 meV/atom
* DFT total energy: -6.12 eV/atom
* SG: Pmmn

Cell: 4.2009 5.9998 8.7322 Å, 90.01 90.00 90.00°
With the nearest neighbours (Å) after each atom.
Fractional coordinates of all 10 atoms:
Ru 0.7500 0.9539 0.7500  1 Ni 2.51, 2 Er 2.77
Ru 0.2500 0.0461 0.2500  1 Ni 2.51, 2 Er 2.77
Er 0.2500 0.7603 0.5532  3 Ru 2.95-3.15, 3 Ni 3.03-3.19
Er 0.7500 0.2397 0.4468  3 Ru 2.95-3.15, 3 Ni 3.03-3.19
Er 0.7500 0.2396 0.0532  3 Ru 2.95-3.15, 3 Ni 3.03-3.19
Er 0.2500 0.2554 0.7500  2 Ni 2.69, 2 Ru 2.77
Er 0.2500 0.7604 0.9468  3 Ru 2.95-3.15, 3 Ni 3.03-3.19
Er 0.7500 0.7446 0.2500  2 Ni 2.69, 2 Ru 2.77
Ni 0.7500 0.5355 0.7500  1 Ru 2.51, 2 Er 2.69
Ni 0.2500 0.4645 0.2500  1 Ru 2.51, 2 Er 2.69